Record 1
Sc2AlFeC after structural relaxation, computed with PBE-GGA. Values from VASP.

Summary:
D(E_F) in states/eV/cell: 2.20
Energy relative to the elements in eV/atom: -0.426
Theoretical density in g/cm³: 4.0

Structure (Quantum ESPRESSO input):
```
&SYSTEM
  ibrav = 0, nat = 5, ntyp = 4
/
ATOMIC_SPECIES
Fe 55.84 Fe.upf
C 12.01 C.upf
Al 26.98 Al.upf
Sc 44.96 Sc.upf
ATOMIC_POSITIONS crystal
Fe 0.000 0.000 0.500
C 0.000 0.000 0.000
Al 0.500 0.500 0.500
Sc 0.500 0.000 0.000
Sc 0.000 0.500 0.000
CELL_PARAMETERS angstrom
4.553 0.000 0.000
0.000 4.553 0.000
0.000 0.000 3.681
```

Record 2
ScAlFe2C after structural relaxation, computed with PBE-GGA. Values from VASP.

Summary:
D(E_F) in states/eV/cell: 8.25
Energy relative to the elements in eV/atom: -0.233
Theoretical density in g/cm³: 5.1

Structure (Quantum ESPRESSO input):
```
&SYSTEM
  ibrav = 0, nat = 10, ntyp = 4
/
ATOMIC_SPECIES
Fe 55.84 Fe.upf
C 12.01 C.upf
Al 26.98 Al.upf
Sc 44.96 Sc.upf
ATOMIC_POSITIONS crystal
Fe 0.152 0.304 0.960
Fe 0.848 0.696 0.460
Fe 0.152 0.304 0.540
Fe 0.848 0.696 0.040
C 0.000 0.000 0.500
C 0.000 0.000 0.000
Al 0.253 0.506 0.250
Al 0.747 0.494 0.750
Sc 0.476 0.952 0.750
Sc 0.524 0.048 0.250
CELL_PARAMETERS angstrom
3.047 0.000 0.000
-1.524 5.676 0.000
0.000 0.000 7.343
```

Record 3
Sm2Al2Fe2C after structural relaxation, computed with PBE-GGA. Values from VASP.

Summary:
D(E_F) in states/eV/cell: 4.55
Energy relative to the elements in eV/atom: -0.327
Theoretical density in g/cm³: 6.4

Structure (Quantum ESPRESSO input):
```
&SYSTEM
  ibrav = 0, nat = 7, ntyp = 4
/
ATOMIC_SPECIES
Fe 55.84 Fe.upf
Al 26.98 Al.upf
C 12.01 C.upf
Sm 150.36 Sm.upf
ATOMIC_POSITIONS crystal
Fe 0.809 0.293 0.088
Fe 0.191 0.707 0.912
Al 0.832 0.606 0.731
Al 0.168 0.394 0.269
C 0.000 0.000 0.000
Sm 0.445 0.826 0.284
Sm 0.555 0.174 0.716
CELL_PARAMETERS angstrom
-0.748 0.511 3.987
4.466 -2.242 3.222
2.895 4.683 2.039
```

Record 4
Sm2Al2Fe15C after structural relaxation, computed with PBE-GGA. Values from VASP.

Summary:
D(E_F) in states/eV/cell: 17.94
Energy relative to the elements in eV/atom: -0.087
Theoretical density in g/cm³: 7.5

Structure (Quantum ESPRESSO input):
```
&SYSTEM
  ibrav = 0, nat = 20, ntyp = 4
/
ATOMIC_SPECIES
Fe 55.84 Fe.upf
Sm 150.36 Sm.upf
Al 26.98 Al.upf
C 12.01 C.upf
ATOMIC_POSITIONS crystal
Fe 0.285 0.715 0.000
Fe 0.288 0.000 0.713
Fe 0.655 0.655 0.148
Fe 0.000 0.500 0.000
Fe 0.340 0.848 0.343
Fe 0.712 0.000 0.287
Fe 0.345 0.345 0.852
Fe 0.000 0.288 0.713
Fe 0.152 0.660 0.657
Fe 0.715 0.285 0.000
Fe 0.500 0.000 0.000
Fe 0.848 0.340 0.343
Fe 0.000 0.000 0.500
Fe 0.000 0.712 0.287
Fe 0.660 0.152 0.657
Sm 0.656 0.656 0.641
Sm 0.344 0.344 0.359
Al 0.896 0.896 0.898
Al 0.104 0.104 0.102
C 0.500 0.500 0.000
CELL_PARAMETERS angstrom
6.491 -0.003 0.002
0.807 6.440 0.002
0.793 0.699 6.382
```

Record 5
SmAl2Fe2C after structural relaxation, computed with PBE-GGA. Values from VASP.

Summary:
D(E_F) in states/eV/cell: 3.27
Energy relative to the elements in eV/atom: -0.302
Theoretical density in g/cm³: 6.4

Structure (Quantum ESPRESSO input):
```
&SYSTEM
  ibrav = 0, nat = 6, ntyp = 4
/
ATOMIC_SPECIES
Al 26.98 Al.upf
Sm 150.36 Sm.upf
Fe 55.84 Fe.upf
C 12.01 C.upf
ATOMIC_POSITIONS crystal
Al 0.500 0.500 0.262
Al 0.500 0.500 0.738
Sm 0.000 0.000 0.500
Fe 0.500 0.000 0.000
Fe 0.000 0.500 0.000
C 0.000 0.000 0.000
CELL_PARAMETERS angstrom
3.879 0.000 0.000
0.000 3.879 0.000
0.000 0.000 5.640
```

Record 6
Tb2Al2Fe2C after structural relaxation, computed with PBE-GGA. Values from VASP.

Summary:
D(E_F) in states/eV/cell: 4.02
Energy relative to the elements in eV/atom: -0.362
Theoretical density in g/cm³: 6.9

Structure (Quantum ESPRESSO input):
```
&SYSTEM
  ibrav = 0, nat = 7, ntyp = 4
/
ATOMIC_SPECIES
Al 26.98 Al.upf
Fe 55.84 Fe.upf
C 12.01 C.upf
Tb 158.93 Tb.upf
ATOMIC_POSITIONS crystal
Al 0.165 0.393 0.277
Al 0.835 0.607 0.723
Fe 0.808 0.294 0.089
Fe 0.192 0.706 0.911
C 0.000 0.000 0.000
Tb 0.446 0.827 0.282
Tb 0.554 0.173 0.718
CELL_PARAMETERS angstrom
4.026 0.000 0.000
2.013 5.491 -0.550
2.013 1.447 5.262
```

Record 7
AlFeTc2C after structural relaxation, computed with PBE-GGA. Values from VASP.

Summary:
D(E_F) in states/eV/cell: 3.71
Energy relative to the elements in eV/atom: -0.090
Theoretical density in g/cm³: 7.7

Structure (Quantum ESPRESSO input):
```
&SYSTEM
  ibrav = 0, nat = 5, ntyp = 4
/
ATOMIC_SPECIES
Al 26.98 Al.upf
Fe 55.84 Fe.upf
Tc 98.00 Tc.upf
C 12.01 C.upf
ATOMIC_POSITIONS crystal
Al 0.500 0.500 0.500
Fe 0.000 0.000 0.500
Tc 0.000 0.500 0.000
Tc 0.500 0.000 0.000
C 0.000 0.000 0.000
CELL_PARAMETERS angstrom
-1.648 -3.091 -2.102
3.500 -2.082 0.318
-1.206 -1.538 3.207
```

Record 8
AlFe2TcC after structural relaxation, computed with PBE-GGA. Values from VASP.

Summary:
D(E_F) in states/eV/cell: 4.14
Energy relative to the elements in eV/atom: -0.132
Theoretical density in g/cm³: 7.0

Structure (Quantum ESPRESSO input):
```
&SYSTEM
  ibrav = 0, nat = 5, ntyp = 4
/
ATOMIC_SPECIES
Tc 98.00 Tc.upf
Al 26.98 Al.upf
Fe 55.84 Fe.upf
C 12.01 C.upf
ATOMIC_POSITIONS crystal
Tc 0.000 0.000 0.500
Al 0.500 0.500 0.500
Fe 0.000 0.500 0.000
Fe 0.500 0.000 0.000
C 0.000 0.000 0.000
CELL_PARAMETERS angstrom
3.813 0.000 0.000
0.000 3.813 0.000
0.000 0.000 4.059
```

Record 9
AlFe2TeC after structural relaxation, computed with PBE-GGA. Values from VASP.

Summary:
Energy relative to the elements, uncorrected in meV per atom: 1282
D(E_F) in states/eV/cell: 4.65
Theoretical density in g/cm³: 5.6

Structure (Quantum ESPRESSO input):
```
&SYSTEM
  ibrav = 0, nat = 5, ntyp = 4
/
ATOMIC_SPECIES
C 12.01 C.upf
Al 26.98 Al.upf
Te 127.60 Te.upf
Fe 55.84 Fe.upf
ATOMIC_POSITIONS crystal
C 0.000 0.500 0.000
Al 0.000 0.000 0.000
Te 0.500 0.500 0.500
Fe 0.500 0.000 0.000
Fe 0.000 0.000 0.500
CELL_PARAMETERS angstrom
-0.326 -1.300 -4.520
0.356 -3.542 0.993
-4.681 -0.347 0.438
```

Record 10
ThAlFeC after structural relaxation, computed with PBE-GGA. Values from VASP.

Summary:
D(E_F) in states/eV/cell: 3.12
Energy relative to the elements in eV/atom: -0.095
Theoretical density in g/cm³: 8.0

Structure (Quantum ESPRESSO input):
```
&SYSTEM
  ibrav = 0, nat = 4, ntyp = 4
/
ATOMIC_SPECIES
C 12.01 C.upf
Al 26.98 Al.upf
Th 232.04 Th.upf
Fe 55.84 Fe.upf
ATOMIC_POSITIONS crystal
C 0.235 0.235 0.470
Al 0.035 0.035 0.070
Th 0.734 0.734 0.468
Fe 0.426 0.426 0.852
CELL_PARAMETERS angstrom
3.631 0.000 0.000
0.000 3.631 0.000
-1.815 -1.815 5.155
```

Record 11
ThAl2Fe2C after structural relaxation, computed with PBE-GGA. Values from VASP.

Summary:
D(E_F) in states/eV/cell: 4.21
Energy relative to the elements in eV/atom: -0.271
Theoretical density in g/cm³: 7.8

Structure (Quantum ESPRESSO input):
```
&SYSTEM
  ibrav = 0, nat = 6, ntyp = 4
/
ATOMIC_SPECIES
Fe 55.84 Fe.upf
Th 232.04 Th.upf
C 12.01 C.upf
Al 26.98 Al.upf
ATOMIC_POSITIONS crystal
Fe 0.500 0.000 0.000
Fe 0.000 0.500 0.000
Th 0.000 0.000 0.500
C 0.000 0.000 0.000
Al 0.500 0.500 0.740
Al 0.500 0.500 0.260
CELL_PARAMETERS angstrom
3.926 0.000 0.000
0.000 3.926 0.000
0.000 0.000 5.634
```

Record 12
TiAlFe2C after structural relaxation, computed with PBE-GGA. Values from VASP.

Summary:
D(E_F) in states/eV/cell: 4.56
Energy relative to the elements in eV/atom: -0.214
Theoretical density in g/cm³: 5.6

Structure (Quantum ESPRESSO input):
```
&SYSTEM
  ibrav = 0, nat = 5, ntyp = 4
/
ATOMIC_SPECIES
Ti 47.87 Ti.upf
C 12.01 C.upf
Al 26.98 Al.upf
Fe 55.84 Fe.upf
ATOMIC_POSITIONS crystal
Ti 0.000 0.000 0.500
C 0.000 0.000 0.000
Al 0.500 0.500 0.500
Fe 0.500 0.000 0.000
Fe 0.000 0.500 0.000
CELL_PARAMETERS angstrom
3.794 0.000 0.000
0.000 3.794 0.000
0.000 0.000 4.089
```